Entry 1:
Below is a crystal of RbAlAs3 relaxed with PBEsol, with properties calculated at the meta-GGA SCAN level.

Final energy   -15.93 eV per atom
Theoretical density   3.46 g/cm³
Energy relative to the elements   1.887 eV per atom
Space-group type   Pm-3m, No. 221

Unit cell a=5.452 b=5.452 c=5.452 alpha=90.00 beta=90.00 gamma=90.00
Element x y z (fractional)
As  0.500  0.000  0.000
As  0.000  0.000  0.500
As  0.000  0.500  0.000
Al  0.500  0.500  0.500
Rb  0.000  0.000  0.000

Entry 2:
Below is a crystal of ScMn2Ni relaxed with PBEsol, with properties calculated at the meta-GGA SCAN level.

Final energy   -16.96 eV per atom
Theoretical density   6.74 g/cm³
Energy relative to the elements   -0.228 eV per atom
Space-group type   P4mm, No. 99

Unit cell a=2.906 b=2.906 c=6.230 alpha=90.00 beta=90.00 gamma=90.00
Element x y z (fractional)
Mn  0.500  0.500  0.045
Mn  0.000  0.000  0.242
Ni  0.500  0.500  0.466
Sc  0.000  0.000  0.748